[1]
Entry from Alexandria: an optimized crystal structure of HoPaSe2 (PBE).

Total moment, μB/cell: 1.10
Calculated total energy, eV per atom: -6.4722
N(E_F), states/eV per atom: 1.4579
ΔE_f (raw), meV per atom: -1211
Space-group type: P4/mmm

Unit cell a=3.549 b=4.979 c=4.979 alpha=90.00 beta=90.00 gamma=90.00
Each line ends with the local moment (μB).
Sites, in units of the cell vectors:
Se 0.000 0.000 0.500  -0.02
Pa 0.500 0.000 0.000  0.79
Se 0.000 0.500 0.000  -0.02
Ho 0.500 0.500 0.500  0.19

=====

[2]
Entry from Alexandria: an optimized crystal structure of Ho6PaSe8 (PBE).

Total moment, μB/cell: 1.68
Calculated total energy, eV per atom: -6.0130
N(E_F), states/eV per atom: 0.8250
ΔE_f (raw), meV per atom: -1690
Space-group type: Fm-3m

Unit cell a=8.084 b=8.084 c=8.084 alpha=60.00 beta=60.00 gamma=60.00
Each line ends with the local moment (μB).
Sites, in units of the cell vectors:
Se 0.257 0.743 0.743  -0.01
Se 0.743 0.743 0.257  -0.01
Se 0.750 0.750 0.750  0.00
Se 0.257 0.257 0.743  -0.01
Ho 0.000 0.500 0.000  0.04
Ho 0.500 0.000 0.000  0.04
Se 0.257 0.743 0.257  -0.01
Pa 0.000 0.000 0.000  1.09
Se 0.743 0.257 0.743  -0.01
Se 0.250 0.250 0.250  0.00
Se 0.743 0.257 0.257  -0.01
Ho 0.000 0.500 0.500  0.04
Ho 0.500 0.500 0.000  0.04
Ho 0.500 0.000 0.500  0.04
Ho 0.000 0.000 0.500  0.04

=====

[3]
Entry from Alexandria: an optimized crystal structure of HoPa6Se12 (PBE).

Total moment, μB/cell: 9.07
Calculated total energy, eV per atom: -6.7651
N(E_F), states/eV per atom: 1.6718
ΔE_f (raw), meV per atom: -1325
Space-group type: R-3

Unit cell a=8.287 b=8.287 c=8.287 alpha=100.25 beta=100.25 gamma=100.25
Each line ends with the local moment (μB).
Sites, in units of the cell vectors:
Pa 0.632 0.309 0.134  1.32
Se 0.177 0.422 0.565  -0.04
Se 0.565 0.177 0.422  -0.04
Se 0.933 0.040 0.672  -0.03
Pa 0.309 0.134 0.632  1.32
Se 0.040 0.672 0.933  -0.03
Pa 0.866 0.368 0.691  1.32
Se 0.960 0.328 0.067  -0.03
Se 0.435 0.823 0.578  -0.04
Ho 0.000 0.000 0.000  0.05
Se 0.823 0.578 0.435  -0.04
Pa 0.134 0.632 0.309  1.32
Se 0.422 0.565 0.177  -0.04
Se 0.067 0.960 0.328  -0.03
Pa 0.691 0.866 0.368  1.32
Se 0.578 0.435 0.823  -0.04
Se 0.672 0.933 0.040  -0.03
Se 0.328 0.067 0.960  -0.03
Pa 0.368 0.691 0.866  1.32

=====

[4]
Entry from Alexandria: an optimized crystal structure of Ho3PaSe6 (PBE).

Total moment, μB/cell: 2.98
Calculated total energy, eV per atom: -6.1306
N(E_F), states/eV per atom: 0.5608
ΔE_f (raw), meV per atom: -1717
Space-group type: P2_1/m

Unit cell a=4.050 b=11.512 c=11.799 alpha=108.31 beta=90.00 gamma=90.00
Each line ends with the local moment (μB).
Sites, in units of the cell vectors:
Se 0.750 0.807 0.748  -0.01
Ho 0.750 0.158 0.080  0.02
Se 0.250 0.253 0.723  -0.02
Se 0.750 0.482 0.618  0.00
Ho 0.250 0.571 0.165  0.03
Se 0.250 0.518 0.382  0.00
Se 0.250 0.193 0.252  -0.01
Pa 0.750 0.046 0.697  1.26
Se 0.750 0.747 0.277  -0.02
Se 0.250 0.604 0.934  0.00
Se 0.750 0.917 0.099  -0.01
Ho 0.250 0.321 0.499  0.01
Pa 0.250 0.954 0.303  1.26
Ho 0.750 0.679 0.501  0.01
Ho 0.750 0.429 0.835  0.03
Se 0.250 0.886 0.535  -0.03
Se 0.250 0.083 0.901  -0.01
Se 0.750 0.396 0.066  0.00
Se 0.750 0.114 0.465  -0.03
Ho 0.250 0.842 0.920  0.02

=====

[5]
Entry from Alexandria: an optimized crystal structure of HoPa6Se8 (PBE).

Total moment, μB/cell: 0.00
Calculated total energy, eV per atom: -7.3103
N(E_F), states/eV per atom: 1.4583
ΔE_f (raw), meV per atom: -1348
Space-group type: Fm-3m

Unit cell a=8.091 b=8.091 c=8.091 alpha=60.00 beta=60.00 gamma=60.00
Sites, in units of the cell vectors:
Se 0.744 0.256 0.256
Se 0.256 0.744 0.256
Pa 0.000 0.500 0.000
Pa 0.500 0.000 0.000
Se 0.744 0.256 0.744
Ho 0.000 0.000 0.000
Pa 0.000 0.000 0.500
Pa 0.500 0.500 0.000
Se 0.256 0.256 0.744
Se 0.750 0.750 0.750
Se 0.744 0.744 0.256
Se 0.256 0.744 0.744
Pa 0.000 0.500 0.500
Se 0.250 0.250 0.250
Pa 0.500 0.000 0.500

=====

[6]
Entry from Alexandria: an optimized crystal structure of HoPa2Se5 (PBE).

Total moment, μB/cell: 4.90
Calculated total energy, eV per atom: -6.5824
N(E_F), states/eV per atom: 1.1079
ΔE_f (raw), meV per atom: -1458
Space-group type: Pbam

Unit cell a=3.977 b=8.100 c=12.379 alpha=90.00 beta=90.00 gamma=90.00
Each line ends with the local moment (μB).
Sites, in units of the cell vectors:
Pa 0.500 0.977 0.679  1.11
Se 0.500 0.675 0.395  -0.02
Ho 0.000 0.000 0.000  0.01
Pa 0.500 0.477 0.821  1.11
Se 0.000 0.815 0.196  -0.03
Se 0.500 0.175 0.105  -0.02
Se 0.500 0.325 0.605  -0.02
Pa 0.500 0.023 0.321  1.11
Se 0.000 0.185 0.804  -0.03
Se 0.000 0.000 0.500  -0.04
Se 0.000 0.500 0.000  -0.04
Ho 0.000 0.500 0.500  0.01
Se 0.500 0.825 0.895  -0.02
Pa 0.500 0.523 0.179  1.11
Se 0.000 0.315 0.304  -0.03
Se 0.000 0.685 0.696  -0.03

=====

[7]
Entry from Alexandria: an optimized crystal structure of Ho2PaSe3 (PBE).

Total moment, μB/cell: 0.95
Calculated total energy, eV per atom: -6.3790
N(E_F), states/eV per atom: 0.9621
ΔE_f (raw), meV per atom: -1528
Space-group type: P6_3/mmc

Unit cell a=3.940 b=3.940 c=21.144 alpha=90.00 beta=90.00 gamma=120.00
Each line ends with the local moment (μB).
Sites, in units of the cell vectors:
Se 0.333 0.667 0.338  0.00
Se 0.667 0.333 0.662  0.00
Ho 0.333 0.667 0.915  -0.01
Pa 0.000 0.000 0.250  0.41
Se 0.000 0.000 0.000  0.00
Pa 0.000 0.000 0.750  0.41
Se 0.667 0.333 0.838  0.00
Se 0.333 0.667 0.162  0.00
Se 0.000 0.000 0.500  0.00
Ho 0.667 0.333 0.085  -0.01
Ho 0.333 0.667 0.585  -0.01
Ho 0.667 0.333 0.415  -0.01

=====

[8]
Entry from Alexandria: an optimized crystal structure of Sr2HoPaSe6 (PBE).

Total moment, μB/cell: 0.00
Calculated total energy, eV per atom: -5.6078
N(E_F), states/eV per atom: 0.0000
ΔE_f (raw), meV per atom: -1773
Space-group type: P2_1/c

Unit cell a=7.221 b=7.803 c=10.589 alpha=90.00 beta=89.48 gamma=90.00
Sites, in units of the cell vectors:
Ho 0.500 0.000 0.000
Sr 0.468 0.411 0.248
Se 0.311 0.690 0.060
Se 0.319 0.696 0.437
Se 0.119 0.466 0.752
Se 0.381 0.966 0.748
Se 0.819 0.804 0.937
Se 0.181 0.196 0.063
Ho 0.000 0.500 0.500
Se 0.619 0.034 0.252
Pa 0.500 0.000 0.500
Se 0.689 0.310 0.940
Pa 0.000 0.500 0.000
Se 0.681 0.304 0.563
Se 0.881 0.534 0.248
Sr 0.532 0.589 0.752
Sr 0.032 0.911 0.252
Se 0.189 0.190 0.440
Se 0.811 0.810 0.560
Sr 0.968 0.089 0.748

=====

[9]
Entry from Alexandria: an optimized crystal structure of HoPaTl2Se4 (PBE).

Total moment, μB/cell: 2.03
Calculated total energy, eV per atom: -5.2418
N(E_F), states/eV per atom: 0.8797
ΔE_f (raw), meV per atom: -1149
Space-group type: P2/m

Unit cell a=4.113 b=7.219 c=8.279 alpha=106.18 beta=90.00 gamma=90.00
Each line ends with the local moment (μB).
Sites, in units of the cell vectors:
Tl 0.500 0.000 0.500  0.01
Se 0.000 0.737 0.207  -0.02
Pa 0.500 0.500 0.000  1.37
Tl 0.000 0.500 0.500  0.02
Se 0.500 0.768 0.797  -0.01
Se 0.500 0.232 0.203  -0.01
Ho 0.000 0.000 0.000  0.15
Se 0.000 0.263 0.793  -0.02

=====

[10]
Entry from Alexandria: an optimized crystal structure of Ho2PaTl3Se6 (PBE).

Total moment, μB/cell: 2.02
Calculated total energy, eV per atom: -5.1054
N(E_F), states/eV per atom: 0.7669
ΔE_f (raw), meV per atom: -1217
Space-group type: C2/m

Unit cell a=7.196 b=7.196 c=8.275 alpha=98.33 beta=98.33 gamma=119.98
Each line ends with the local moment (μB).
Sites, in units of the cell vectors:
Se 0.933 0.599 0.798  -0.01
Ho 0.334 0.666 0.000  0.12
Ho 0.666 0.334 0.000  0.12
Se 0.067 0.401 0.202  -0.01
Tl 0.832 0.168 0.500  0.02
Tl 0.500 0.500 0.500  0.02
Tl 0.168 0.832 0.500  0.02
Se 0.734 0.734 0.203  -0.01
Se 0.266 0.266 0.797  -0.01
Se 0.599 0.933 0.798  -0.01
Pa 0.000 0.000 0.000  1.26
Se 0.401 0.067 0.202  -0.01

=====

[11]
Entry from Alexandria: an optimized crystal structure of Ho2PaTl2Se6 (PBE).

Total moment, μB/cell: 1.05
Calculated total energy, eV per atom: -5.4062
N(E_F), states/eV per atom: 0.2597
ΔE_f (raw), meV per atom: -1380
Space-group type: C2/m

Unit cell a=7.190 b=7.190 c=8.219 alpha=98.43 beta=98.43 gamma=120.04
Each line ends with the local moment (μB).
Sites, in units of the cell vectors:
Ho 0.333 0.667 0.500  0.02
Tl 0.833 0.167 0.000  0.00
Pa 0.000 0.000 0.500  1.00
Se 0.264 0.264 0.298  -0.01
Tl 0.167 0.833 0.000  0.00
Se 0.399 0.066 0.702  -0.01
Se 0.066 0.399 0.702  -0.01
Se 0.934 0.601 0.298  -0.01
Se 0.736 0.736 0.702  -0.01
Ho 0.667 0.333 0.500  0.02
Se 0.601 0.934 0.298  -0.01

=====

[12]
Entry from Alexandria: an optimized crystal structure of Ho3PaTl4Se8 (PBE).

Total moment, μB/cell: 2.02
Calculated total energy, eV per atom: -5.0426
N(E_F), states/eV per atom: 0.6318
ΔE_f (raw), meV per atom: -1257
Space-group type: R-3m

Unit cell a=8.322 b=9.224 c=8.323 alpha=116.85 beta=120.00 gamma=90.00
Each line ends with the local moment (μB).
Sites, in units of the cell vectors:
Tl 0.000 0.000 0.500  0.01
Se 0.734 0.704 0.969  -0.01
Ho 0.500 0.500 0.000  0.09
Se 0.235 0.704 0.471  -0.01
Ho 0.500 0.500 0.500  0.09
Pa 0.000 0.500 0.000  1.30
Se 0.765 0.296 0.529  -0.01
Se 0.235 0.704 0.969  -0.01
Tl 0.000 0.000 0.000  0.01
Se 0.765 0.296 0.031  -0.01
Tl 0.500 0.000 0.500  0.01
Se 0.266 0.296 0.031  -0.01
Tl 0.500 0.000 0.000  0.00
Ho 0.000 0.500 0.500  0.09
Se 0.266 0.300 0.533  0.00
Se 0.734 0.700 0.467  0.00